(1)
Here is CaPmAgSn after structural relaxation from Alexandria. Energies are from GGA-PBE.

Structure (POSCAR):
```
CaPmAgSn
1.0
5.348 0.000 0.000
2.674 4.632 0.000
2.674 1.544 4.367
Sn Ag Pm Ca
1 1 1 1
direct
0.250 0.250 0.250
0.750 0.750 0.750
0.000 0.000 0.000
0.500 0.500 0.500
```

Output
As for the crystal system: cubic. The density comes out at 6.32 g cm⁻³. Its formation energy is -552.4 meV per atom.



(2)
Here is SrCa2PmAg4 after structural relaxation from Alexandria. Energies are from GGA-PBE.

Structure (POSCAR):
```
SrCa2PmAg4
1.0
5.318 0.000 0.000
2.659 4.605 0.000
2.659 1.535 8.738
Ag Sr Pm Ca
4 1 1 2
direct
0.871 0.871 0.388
0.380 0.380 0.860
0.129 0.129 0.612
0.620 0.620 0.140
0.000 0.000 0.000
0.500 0.500 0.500
0.751 0.751 0.748
0.249 0.249 0.252
```

Output
As for the crystal system: trigonal. The density comes out at 5.78 g cm⁻³. Its formation energy is -292.9 meV per atom.



(3)
Here is Ca3Pm3AgTe8 after structural relaxation from Alexandria. Energies are from GGA-PBE.

Structure (POSCAR):
```
Ca3Pm3AgTe8
1.0
-8.764 -0.269 -1.697
5.732 -4.157 -5.446
-1.495 -3.246 8.234
Pm Te Ca Ag
3 8 3 1
direct
0.500 0.000 0.500
0.500 0.500 0.500
0.000 0.500 0.500
0.250 0.500 0.250
0.248 0.495 0.744
0.752 0.004 0.255
0.750 0.500 0.750
0.748 0.996 0.745
0.248 0.996 0.745
0.752 0.505 0.256
0.252 0.004 0.255
0.000 0.500 0.000
0.000 0.000 0.000
0.500 0.500 0.000
0.000 0.000 0.500
```

Output
As for the crystal system: trigonal. For the uncorrected formation energy, the calculation gives -1.294 eV/atom. The density comes out at 5.51 g cm⁻³.



(4)
Here is CaPmAgTe3 after structural relaxation from Alexandria. Energies are from GGA-PBE.

Structure (POSCAR):
```
CaPmAgTe3
1.0
4.300 0.000 0.000
0.000 8.910 0.141
0.000 -2.215 9.657
Te Ag Pm Ca
6 2 2 2
direct
0.250 0.593 0.844
0.250 0.742 0.502
0.750 0.407 0.156
0.750 0.920 0.131
0.750 0.258 0.498
0.250 0.080 0.869
0.250 0.081 0.583
0.750 0.919 0.417
0.250 0.184 0.246
0.750 0.816 0.754
0.250 0.668 0.171
0.750 0.332 0.829
```

Output
As for the crystal system: monoclinic. For the uncorrected formation energy, the calculation gives -1.167 eV/atom. The density comes out at 6.04 g cm⁻³.



(5)
Here is CaPm2Tl2Ag2 after structural relaxation from Alexandria. Energies are from GGA-PBE.

Structure (POSCAR):
```
CaPm2Tl2Ag2
1.0
-1.702 -3.684 2.833
1.429 -4.657 -0.874
7.090 -1.659 6.424
Ag Tl Pm Ca
2 2 2 1
direct
0.401 0.401 0.798
0.599 0.599 0.202
0.258 0.258 0.225
0.742 0.742 0.775
0.875 0.875 0.375
0.125 0.125 0.625
0.000 0.000 0.000
```

Output
As for the crystal system: trigonal. The density comes out at 8.05 g cm⁻³. Its formation energy is -196.0 meV per atom.



(6)
Here is CaPm2Tl4Ag after structural relaxation from Alexandria. Energies are from GGA-PBE.

Structure (POSCAR):
```
CaPm2Tl4Ag
1.0
5.313 0.000 0.000
2.656 4.601 0.000
2.656 1.534 9.013
Ca Tl Ag Pm
1 4 1 2
direct
0.000 0.000 0.000
0.125 0.125 0.624
0.377 0.377 0.870
0.623 0.623 0.130
0.875 0.875 0.376
0.500 0.500 0.500
0.757 0.757 0.729
0.243 0.243 0.271
```

Output
As for the crystal system: trigonal. The density comes out at 9.46 g cm⁻³. Its formation energy is -286.3 meV per atom.